Density functional theory data (GGA-PBE) for crystalline TlNiW4C2 at its relaxed geometry.

The calculation puts the total energy at -0.696 Ry/atom. The value obtained for the magnetization is 0.0 μB per cell.

It has space group P-6m2 (No. 187), with a = 3.1146 Å, b = 3.1146 Å, c = 13.3559 Å, α = 90.00°, β = 90.00° and γ = 120.00°. The distinct sites, in fractional coordinates, are Tl at (0.0000, 0.0000, 0.0000), Ni at (0.6667, 0.3333, 0.5000), W at (0.0000, 0.0000, 0.3561), W at (0.6667, 0.3333, 0.1856) and C at (0.3333, 0.6667, 0.2693).